1.
First-principles (SCAN) data for a PBEsol-optimized structure of GaTcPS2, as listed in Alexandria.

Cell and atoms, written as extended XYZ:
```
5
Lattice="4.586 0.000 0.000 0.000 4.615 0.000 0.000 0.000 4.615" Properties=species:S:1:pos:R:3 pbc="T T T"
S 0.000 0.000 2.307
S 0.000 2.307 0.000
P 2.293 0.000 0.000
Ga 2.293 2.307 2.307
Tc 0.000 0.000 0.000
```

Properties
The value obtained for the total magnetic moment is 0.000 Bohr magnetons per cell. The value obtained for the total DFT energy (no corrections) is -79.4 eV per cell. Its space group is P4/mmm (123).



2.
First-principles (SCAN) data for a PBEsol-optimized structure of GaSb3P, as listed in Alexandria.

Cell and atoms, written as extended XYZ:
```
5
Lattice="-4.759 1.504 1.244 0.994 -0.953 4.956 1.680 4.826 0.591" Properties=species:S:1:pos:R:3 pbc="T T T"
P -1.043 2.689 3.395
Ga 0.000 0.000 0.000
Sb 0.497 -0.476 2.478
Sb -2.379 0.752 0.622
Sb 0.840 2.413 0.295
```

Properties
The value obtained for the total magnetic moment is 0.000 Bohr magnetons per cell. The value obtained for the total DFT energy (no corrections) is -133.5 eV per cell. Its space group is Pm-3m (221).



3.
First-principles (SCAN) data for a PBEsol-optimized structure of Ga2SiP, as listed in Alexandria.

Cell and atoms, written as extended XYZ:
```
4
Lattice="4.493 0.000 0.000 2.246 3.891 0.000 2.246 1.297 3.668" Properties=species:S:1:pos:R:3 pbc="T T T"
Ga 2.246 1.297 0.917
P 4.493 2.594 1.834
Si 0.000 0.000 0.000
Ga 6.739 3.891 2.751
```

Properties
The value obtained for the total magnetic moment is 0.000 Bohr magnetons per cell. The value obtained for the total DFT energy (no corrections) is -50.9 eV per cell. Its space group is Fm-3m (225).



4.
First-principles (SCAN) data for a PBEsol-optimized structure of GaSnTe2P, as listed in Alexandria.

Cell and atoms, written as extended XYZ:
```
5
Lattice="-2.103 4.790 0.654 -0.661 0.412 -5.142 -4.723 -2.133 0.437" Properties=species:S:1:pos:R:3 pbc="T T T"
Ga -3.743 1.534 -2.026
Sn -1.051 2.395 0.327
P 0.000 0.000 0.000
Te -0.331 0.206 -2.571
Te -2.362 -1.067 0.218
```

Properties
The value obtained for the total magnetic moment is 0.000 Bohr magnetons per cell. The value obtained for the total DFT energy (no corrections) is -134.7 eV per cell. Its space group is P4/mmm (123).